Below is a relaxed structure of BaLaMg6, with properties calculated at the PBE-GGA level.

energy above the lowest structure with this stoichiometry: 47.3 meV per atom
formation energy: 0.64 kcal/mol of atoms
VASP energy: -16.20 eV per formula unit
symmetry: No. 65

```
BaLaMg6
1.0
5.022 -5.017 0.000
5.022 5.017 0.000
0.000 0.000 4.856
Mg Ba La
6 1 1
direct
0.890 0.640 0.000
0.125 0.375 0.500
0.625 0.875 0.500
0.360 0.640 0.000
0.360 0.110 0.000
0.890 0.110 0.000
0.625 0.375 0.500
0.125 0.875 0.500
```